## YRe2Sb (PBE-GGA)

Data for YRe2Sb after structural relaxation.

Cell: 3.2198 4.1266 6.0053 Å, 90.00 90.00 90.00°
Last column: nearest neighbours and their distance in Å.
Atoms (fractional coordinates):
Re (0.0000, 0.0000, 0.0452)  1 Re 2.46
Re (0.0000, 0.0000, 0.4548)  1 Re 2.46
Sb (0.5000, 0.5000, 0.2500)  8 Re 2.89, 2 Y 3.00, 2 Sb 3.22
Y (0.5000, 0.5000, 0.7500)  2 Sb 3.00, 8 Re 3.16, 2 Y 3.22

Computed properties:
* SG: No. 47
* formation energy without anion corrections: 0.505 eV per atom
* total magnetic moment: 0.00 μB/f.u.
* calculated density: 12.1 g/cm3

=====

## Sm2GdHo (PBE-GGA)

Data for Sm2GdHo after structural relaxation.

Cell: 5.7186 5.7186 5.7186 Å, 60.00 60.00 60.00°
Last column: nearest neighbours and their distance in Å.
Atoms (fractional coordinates):
Gd (0.5000, 0.5000, 0.5000)  8 Sm 3.50
Ho (0.0000, 0.0000, 0.0000)  8 Sm 3.50
Sm (0.2500, 0.2500, 0.2500)  4 Gd 3.50, 4 Ho 3.50
Sm (0.7500, 0.7500, 0.7500)  4 Gd 3.50, 4 Ho 3.50

Computed properties:
* SG: No. 225
* E above lowest polymorph: 0.42 eV per formula unit
* energy of formation: 119.4 meV per atom
* total magnetic moment: 8.71 μB/f.u.
* calculated density: 7.8 g/cm3

=====

## Mg2In2Ni4Ge (PBE-GGA)

Data for Mg2In2Ni4Ge after structural relaxation.

Cell: 5.9281 5.9281 5.9281 Å, 89.51 120.28 120.28°
Last column: nearest neighbours and their distance in Å.
Atoms (fractional coordinates):
Mg (0.0000, 0.6979, 0.6979)  4 Ni 2.54, 1 Ge 2.54
Mg (0.0000, 0.3021, 0.3021)  4 Ni 2.54, 1 Ge 2.54
In (0.5000, 0.7500, 0.2500)  8 Ni 2.97, 4 Mg 2.98
In (0.5000, 0.2500, 0.7500)  8 Ni 2.97, 4 Mg 2.98
Ni (0.0000, 0.7295, 0.2705)  1 Ge 2.26
Ni (0.4591, 0.7295, 0.7295)  1 Ge 2.26
Ni (0.0000, 0.2705, 0.7295)  1 Ge 2.26
Ni (0.5409, 0.2705, 0.2705)  1 Ge 2.26
Ge (0.0000, 0.0000, 0.0000)  4 Ni 2.26

Computed properties:
* SG: No. 139
* energy of formation: 16.6 meV per atom
* total magnetic moment: 0.00 μB/f.u.
* calculated density: 6.6 g/cm3

=====

## Tb7Sm12Zr (PBE-GGA)

Data for Tb7Sm12Zr after structural relaxation.

Cell: 10.0381 10.0381 10.0381 Å, 112.92 112.92 112.92°
Last column: nearest neighbours and their distance in Å.
Atoms (fractional coordinates):
Tb (0.9472, 0.6086, 0.9473)  1 Tb 3.12, 3 Sm 3.18-3.41
Tb (0.3914, 0.0527, 0.0528)  1 Tb 3.12, 3 Sm 3.18-3.41
Tb (0.0527, 0.0528, 0.3914)  1 Tb 3.12, 3 Sm 3.18-3.41
Tb (0.5000, 0.5000, 0.5000)  6 Sm 3.56
Tb (0.9473, 0.9472, 0.6086)  1 Tb 3.12, 3 Sm 3.18-3.41
Tb (0.6086, 0.9473, 0.9472)  1 Tb 3.12, 3 Sm 3.18-3.41
Tb (0.0528, 0.3914, 0.0527)  1 Tb 3.12, 3 Sm 3.18-3.41
Sm (0.7838, 0.2162, 0.5001)  4 Sm 3.08-3.36
Sm (0.7838, 0.4999, 0.2162)  4 Sm 3.08-3.36
Sm (0.3491, 0.0479, 0.3491)  3 Tb 3.18-3.41, 2 Sm 3.36, 1 Zr 3.55
Sm (0.9521, 0.6509, 0.6509)  3 Tb 3.18-3.41, 2 Sm 3.36, 1 Zr 3.55
Sm (0.4999, 0.2162, 0.7838)  4 Sm 3.08-3.36
Sm (0.6509, 0.6509, 0.9521)  3 Tb 3.18-3.41, 2 Sm 3.36, 1 Zr 3.55
Sm (0.3491, 0.3491, 0.0479)  3 Tb 3.18-3.41, 2 Sm 3.36, 1 Zr 3.55
Sm (0.5001, 0.7838, 0.2162)  4 Sm 3.08-3.36
Sm (0.0479, 0.3491, 0.3491)  3 Tb 3.18-3.41, 2 Sm 3.36, 1 Zr 3.55
Sm (0.6509, 0.9521, 0.6509)  3 Tb 3.18-3.41, 2 Sm 3.36, 1 Zr 3.55
Sm (0.2162, 0.5001, 0.7838)  4 Sm 3.08-3.36
Sm (0.2162, 0.7838, 0.4999)  4 Sm 3.08-3.36
Zr (0.0000, 0.0000, 0.0000)  6 Tb 3.54, 6 Sm 3.55

Computed properties:
* SG: No. 166
* E above lowest polymorph: 0.21 eV per formula unit
* energy of formation: 240.1 meV per atom
* total magnetic moment: 0.00 μB/f.u.
* calculated density: 7.6 g/cm3

=====

## SrIn2AgCl5 (PBE-GGA)

Data for SrIn2AgCl5 after structural relaxation.

Cell: 4.3517 9.4678 13.9591 Å, 90.00 90.00 103.29°
Last column: nearest neighbours and their distance in Å.
Atoms (fractional coordinates):
Sr (0.7918, 0.5835, 0.5347)  6 Cl 2.90-2.95
Sr (0.2082, 0.4165, 0.0347)  6 Cl 2.90-2.95
In (0.8680, 0.7361, 0.8312)  7 Cl 3.22-3.49
In (0.0862, 0.1724, 0.6657)  5 Cl 3.10-3.29
In (0.1320, 0.2639, 0.3312)  7 Cl 3.22-3.49
In (0.9138, 0.8276, 0.1657)  5 Cl 3.10-3.29
Ag (0.5480, 0.0960, 0.9274)  4 Cl 2.52-2.78
Ag (0.4520, 0.9040, 0.4274)  4 Cl 2.52-2.78
Cl (0.3633, 0.7267, 0.0015)  1 Sr 2.90, 2 In 3.22
Cl (0.6969, 0.3937, 0.8959)  1 Ag 2.78, 2 Sr 2.92
Cl (0.4898, 0.9796, 0.7641)  1 Ag 2.52
Cl (0.2830, 0.5659, 0.6714)  2 Sr 2.90
Cl (0.9520, 0.9041, 0.5320)  2 Ag 2.62
Cl (0.6367, 0.2733, 0.5015)  1 Sr 2.90, 2 In 3.22
Cl (0.3031, 0.6063, 0.3959)  1 Ag 2.78, 2 Sr 2.92
Cl (0.5102, 0.0204, 0.2641)  1 Ag 2.52
Cl (0.7170, 0.4341, 0.1714)  2 Sr 2.90
Cl (0.0480, 0.0959, 0.0320)  2 Ag 2.62

Computed properties:
* SG: No. 36
* formation energy without anion corrections: -1.275 eV per atom
* total magnetic moment: 0.00 μB/f.u.
* calculated density: 3.6 g/cm3

=====

## Ti2TlSiNi (PBE-GGA)

Data for Ti2TlSiNi after structural relaxation.

Cell: 5.1087 4.8063 5.1087 Å, 90.00 90.00 90.00°
Last column: nearest neighbours and their distance in Å.
Atoms (fractional coordinates):
Ni (0.5000, 0.5000, 0.5000)  8 Ti 3.51, 4 Si 3.61
Tl (0.0000, 0.0000, 0.0000)  2 Si 2.40, 4 Ti 2.55
Si (0.0000, 0.5000, 0.0000)  2 Tl 2.40
Ti (0.0000, 0.0000, 0.5000)  2 Tl 2.55
Ti (0.5000, 0.0000, 0.0000)  2 Tl 2.55

Computed properties:
* SG: No. 123
* formation energy without anion corrections: 1.755 eV per atom
* total magnetic moment: 0.08 μB/f.u.
* calculated density: 5.1 g/cm3

=====

## SrSc2Zn (PBE-GGA)

Data for SrSc2Zn after structural relaxation.

Cell: 10.4845 10.4845 10.4845 Å, 19.34 19.34 19.34°
Last column: nearest neighbours and their distance in Å.
Atoms (fractional coordinates):
Sc (0.0190, 0.0190, 0.0190)  3 Zn 2.84
Sc (0.4810, 0.4810, 0.4810)  3 Zn 2.84
Sr (0.2500, 0.2500, 0.2500)  6 Sr 3.52, 6 Sc 3.75
Zn (0.7500, 0.7500, 0.7500)  6 Sc 2.84

Computed properties:
* SG: No. 166
* energy of formation: 150.2 meV per atom
* total magnetic moment: 0.31 μB/f.u.
* calculated density: 3.7 g/cm3

=====

## Pm4Al7Ga6 (PBE-GGA)

Data for Pm4Al7Ga6 after structural relaxation.

Cell: 7.6502 7.6502 7.6502 Å, 109.47 109.47 109.47°
Last column: nearest neighbours and their distance in Å.
Atoms (fractional coordinates):
Pm (0.5000, 0.0000, 0.0000)  6 Al 3.12, 6 Ga 3.17
Pm (0.5000, 0.5000, 0.5000)  6 Al 3.12, 6 Ga 3.17
Pm (0.0000, 0.5000, 0.0000)  6 Al 3.12, 6 Ga 3.17
Pm (0.0000, 0.0000, 0.5000)  6 Al 3.12, 6 Ga 3.17
Al (0.7500, 0.5000, 0.2500)  4 Ga 2.77
Al (0.2500, 0.7500, 0.5000)  4 Ga 2.77
Al (0.5000, 0.7500, 0.2500)  4 Ga 2.77
Al (0.7500, 0.2500, 0.5000)  4 Ga 2.77
Al (0.2500, 0.5000, 0.7500)  4 Ga 2.77
Al (0.5000, 0.2500, 0.7500)  4 Ga 2.77
Al (0.0000, 0.0000, 0.0000)  6 Ga 2.74
Ga (0.6895, 0.0000, 0.6895)  5 Al 2.74-2.77
Ga (0.6895, 0.6895, 0.0000)  5 Al 2.74-2.77
Ga (0.0000, 0.3105, 0.3105)  5 Al 2.74-2.77
Ga (0.3105, 0.0000, 0.3105)  5 Al 2.74-2.77
Ga (0.3105, 0.3105, 0.0000)  5 Al 2.74-2.77
Ga (0.0000, 0.6895, 0.6895)  5 Al 2.74-2.77

Computed properties:
* SG: No. 229
* energy of formation: -467.5 meV per atom
* total magnetic moment: 0.00 μB/f.u.
* calculated density: 5.7 g/cm3

=====

## CaScAl (PBE-GGA)

Data for CaScAl after structural relaxation.

Cell: 4.9043 5.8717 6.7592 Å, 61.70 68.74 65.34°
Last column: nearest neighbours and their distance in Å.
Atoms (fractional coordinates):
Sc (0.8002, 0.2911, 0.6681)  3 Al 2.99-3.05, 1 Ca 3.18, 2 Sc 3.33
Sc (0.4491, 0.8351, 0.8261)  2 Al 2.95
Ca (0.7118, 0.8721, 0.2633)  5 Al 3.15-3.33, 2 Sc 3.18-3.47, 3 Ca 3.34-3.47
Ca (0.0715, 0.3294, 0.0869)  3 Al 3.04-3.19, 2 Ca 3.34
Al (0.1021, 0.7543, 0.6006)  1 Al 2.69, 2 Sc 2.95
Al (0.3840, 0.4176, 0.3741)  1 Al 2.69, 2 Sc 2.99

Computed properties:
* SG: No. 8
* E above lowest polymorph: 0.21 eV per formula unit
* energy of formation: -113.3 meV per atom
* total magnetic moment: 0.00 μB/f.u.
* calculated density: 2.4 g/cm3

=====

## La2Ga3SbAu4 (PBE-GGA)

Data for La2Ga3SbAu4 after structural relaxation.

Cell: 4.4982 4.4982 11.0919 Å, 90.00 90.00 90.00°
Last column: nearest neighbours and their distance in Å.
Atoms (fractional coordinates):
La (0.5000, 0.0000, 0.2363)  6 Ga 3.42-3.69, 8 Au 3.43-3.45, 2 Sb 3.69
La (0.0000, 0.5000, 0.7637)  6 Ga 3.42-3.69, 8 Au 3.43-3.45, 2 Sb 3.69
Ga (0.0000, 0.0000, 0.5000)  4 Au 2.79
Ga (0.5000, 0.0000, 0.8763)  5 Au 2.52-2.63
Ga (0.0000, 0.5000, 0.1237)  5 Au 2.52-2.63
Sb (0.5000, 0.5000, 0.5000)  4 Au 2.79
Au (0.5000, 0.5000, 0.0000)  4 Ga 2.63
Au (0.0000, 0.0000, 0.0000)  4 Ga 2.63
Au (0.5000, 0.0000, 0.6492)  3 Ga 2.52-2.79, 2 Sb 2.79
Au (0.0000, 0.5000, 0.3508)  3 Ga 2.52-2.79, 2 Sb 2.79

Computed properties:
* SG: No. 115
* formation energy without anion corrections: -0.655 eV per atom
* total magnetic moment: 0.00 μB/f.u.
* calculated density: 10.3 g/cm3

=====

## La2Pr2Co2Cl (PBE-GGA)

Data for La2Pr2Co2Cl after structural relaxation.

Cell: 3.7870 8.2917 7.2265 Å, 65.62 74.81 76.80°
Last column: nearest neighbours and their distance in Å.
Atoms (fractional coordinates):
La (0.2413, 0.6964, 0.8209)  2 Co 2.72
La (0.7587, 0.3036, 0.1791)  2 Co 2.72
Pr (0.5148, 0.2754, 0.6950)  2 Co 2.77, 2 Cl 3.08
Pr (0.4852, 0.7246, 0.3050)  2 Co 2.77, 2 Cl 3.08
Co (0.1041, 0.4695, 0.3224)  1 Co 2.70, 2 La 2.72, 2 Pr 2.77
Co (0.8959, 0.5305, 0.6776)  1 Co 2.70, 2 La 2.72, 2 Pr 2.77
Cl (0.0000, 0.0000, 0.0000)  4 Pr 3.08, 2 La 3.14

Computed properties:
* SG: No. 12
* formation energy without anion corrections: -0.476 eV per atom
* total magnetic moment: 0.00 μB/f.u.
* calculated density: 6.0 g/cm3

=====

## Cs2Tl2CdCl6 (PBE-GGA)

Data for Cs2Tl2CdCl6 after structural relaxation.

Cell: 8.0999 8.0999 7.5521 Å, 99.52 99.52 115.96°
Last column: nearest neighbours and their distance in Å.
Atoms (fractional coordinates):
Cs (0.3441, 0.6559, 0.5000)  6 Cl 3.42-3.51
Cs (0.6559, 0.3441, 0.5000)  6 Cl 3.42-3.51
Tl (0.8369, 0.1631, 0.0000)  4 Cl 3.05-3.15
Tl (0.1631, 0.8369, 0.0000)  4 Cl 3.05-3.15
Cd (0.0000, 0.0000, 0.5000)  6 Cl 2.68-2.76
Cl (0.8187, 0.8187, 0.7445)  1 Cd 2.76, 2 Tl 3.05
Cl (0.0566, 0.3308, 0.7104)  1 Cd 2.68
Cl (0.1813, 0.1813, 0.2555)  1 Cd 2.76, 2 Tl 3.05
Cl (0.3308, 0.0566, 0.7104)  1 Cd 2.68
Cl (0.9434, 0.6692, 0.2896)  1 Cd 2.68
Cl (0.6692, 0.9434, 0.2896)  1 Cd 2.68

Computed properties:
* SG: No. 12
* formation energy without anion corrections: -1.370 eV per atom
* total magnetic moment: 0.00 μB/f.u.
* calculated density: 3.9 g/cm3

=====

## Ca3UAs4 (PBE-GGA)

Data for Ca3UAs4 after structural relaxation.

Cell: 7.2797 7.2377 8.4186 Å, 90.00 90.00 109.89°
Last column: nearest neighbours and their distance in Å.
Atoms (fractional coordinates):
Ca (0.7500, 0.0000, 0.3771)  6 As 2.97-3.02
Ca (0.2500, 0.0000, 0.6229)  6 As 2.97-3.02
Ca (0.7500, 0.5000, 0.6185)  6 As 2.94-3.19
Ca (0.7500, 0.5000, 0.1270)  6 As 2.94-3.16
Ca (0.2500, 0.5000, 0.3815)  6 As 2.94-3.19
Ca (0.2500, 0.5000, 0.8730)  6 As 2.94-3.16
U (0.7500, 0.0000, 0.8686)  6 As 2.74-2.83
U (0.2500, 0.0000, 0.1314)  6 As 2.74-2.83
As (0.9818, 0.2391, 0.6416)  1 U 2.74, 4 Ca 2.94-3.02
As (0.5013, 0.2202, 0.8913)  2 U 2.80-2.83, 2 Ca 2.97-3.00
As (0.4818, 0.2391, 0.3584)  1 U 2.74, 4 Ca 2.94-3.02
As (0.0013, 0.2202, 0.1087)  2 U 2.80-2.83, 2 Ca 2.97-3.00
As (0.9987, 0.7798, 0.8913)  2 U 2.80-2.83, 2 Ca 2.97-3.00
As (0.5182, 0.7609, 0.6416)  1 U 2.74, 4 Ca 2.94-3.02
As (0.4987, 0.7798, 0.1087)  2 U 2.80-2.83, 2 Ca 2.97-3.00
As (0.0182, 0.7609, 0.3584)  1 U 2.74, 4 Ca 2.94-3.02

Computed properties:
* SG: No. 13
* energy of formation: -1050.9 meV per atom
* total magnetic moment: 0.00 μB/f.u.
* calculated density: 5.2 g/cm3

=====

## Sm4In5Ir2 (PBE-GGA)

Data for Sm4In5Ir2 after structural relaxation.

Cell: 3.7566 7.7650 9.7417 Å, 93.85 90.00 90.00°
Last column: nearest neighbours and their distance in Å.
Atoms (fractional coordinates):
Sm (0.5000, 0.7798, 0.5564)  4 Ir 2.96-3.03
Sm (0.5000, 0.1729, 0.8507)  2 Ir 2.85
Sm (0.5000, 0.2202, 0.4436)  4 Ir 2.96-3.03
Sm (0.5000, 0.8271, 0.1493)  2 Ir 2.85
In (0.0000, 0.5495, 0.3228)  1 Ir 2.92, 2 In 3.14-3.24
In (0.0000, 0.1766, 0.1514)  1 Ir 2.90, 2 In 3.00-3.24
In (0.0000, 0.5000, 0.0000)  4 In 3.00-3.14
In (0.0000, 0.8234, 0.8486)  1 Ir 2.90, 2 In 3.00-3.24
In (0.0000, 0.4505, 0.6772)  1 Ir 2.92, 2 In 3.14-3.24
Ir (0.0000, 0.0737, 0.6402)  6 Sm 2.85-3.03, 1 Ir 2.89, 2 In 2.90-2.92
Ir (0.0000, 0.9263, 0.3598)  6 Sm 2.85-3.03, 1 Ir 2.89, 2 In 2.90-2.92

Computed properties:
* SG: No. 10
* energy of formation: -553.8 meV per atom
* total magnetic moment: 0.00 μB/f.u.
* calculated density: 9.1 g/cm3

=====

## MnAs2AuBr (PBE-GGA)

Data for MnAs2AuBr after structural relaxation.

Cell: 4.6046 4.6046 5.1691 Å, 90.00 90.00 90.00°
Last column: nearest neighbours and their distance in Å.
Atoms (fractional coordinates):
As (0.0000, 0.5000, 0.0000)  2 Mn 2.30
As (0.5000, 0.0000, 0.0000)  2 Mn 2.30
Mn (0.0000, 0.0000, 0.0000)  4 As 2.30
Au (0.5000, 0.5000, 0.5000)  4 Br 3.26, 8 As 3.46
Br (0.0000, 0.0000, 0.5000)  2 Mn 2.58

Computed properties:
* SG: No. 123
* formation energy without anion corrections: 0.457 eV per atom
* E above lowest polymorph: 0.00 eV per formula unit
* total magnetic moment: 1.48 μB/f.u.
* calculated density: 7.3 g/cm3